# 1
First-principles (PBE-GGA) data for a relaxed Y3Co crystal, as listed in Alexandria.

Cell: 5.878 5.878 5.878 Å, 90.00 90.00 90.00°
Atoms (fractional coordinates):
Y 0.000 0.250 0.500
Y 0.000 0.750 0.500
Y 0.250 0.500 0.000
Y 0.500 0.000 0.250
Y 0.500 0.000 0.750
Y 0.750 0.500 0.000
Co 0.000 0.000 0.000
Co 0.500 0.500 0.500

Summary:
Formation energy from the elements, kJ/mol of atoms: 34.0
Symmetry: No. 223

=====

# 2
First-principles (PBE-GGA) data for a relaxed CaLaSb2I crystal, as listed in Alexandria.

Cell: 6.032 6.032 6.141 Å, 90.00 90.00 90.00°
Atoms (fractional coordinates):
I 0.000 0.000 0.500
Sb 0.000 0.500 0.000
Sb 0.500 0.000 0.000
Ca 0.500 0.500 0.500
La 0.000 0.000 0.000

Summary:
Uncorrected formation energy, eV/atom: -0.329
Excess energy over the best structure of this formula in the dataset, meV per atom: 0
Symmetry: No. 123

=====

# 3
First-principles (PBE-GGA) data for a relaxed La2ScTl2 crystal, as listed in Alexandria.

Cell: 4.859 6.691 10.624 Å, 82.76 76.78 68.71°
Atoms (fractional coordinates):
La 0.319 0.262 0.101
La 0.485 0.352 0.677
La 0.681 0.738 0.899
La 0.515 0.648 0.323
Sc 0.787 0.055 0.371
Sc 0.213 0.945 0.629
Tl 0.973 0.170 0.884
Tl 0.142 0.295 0.421
Tl 0.027 0.830 0.116
Tl 0.858 0.705 0.579

Summary:
Formation energy from the elements, kJ/mol of atoms: -29.8
Excess energy over the best structure of this formula in the dataset, meV per atom: 0
Symmetry: No. 12

=====

# 4
First-principles (PBE-GGA) data for a relaxed CaCoRh2 crystal, as listed in Alexandria.

Cell: 4.738 4.738 2.881 Å, 90.00 90.00 104.19°
Atoms (fractional coordinates):
Co 0.000 0.500 0.500
Ca 0.500 0.000 0.500
Rh 0.000 0.000 0.000
Rh 0.500 0.500 0.000

Summary:
Formation energy from the elements, kJ/mol of atoms: 13.3
Excess energy over the best structure of this formula in the dataset, meV per atom: 119
Symmetry: No. 65

=====

# 5
First-principles (PBE-GGA) data for a relaxed LiCdIr2 crystal, as listed in Alexandria.

Cell: 4.313 3.788 3.788 Å, 90.00 90.00 90.00°
Atoms (fractional coordinates):
Cd 0.500 0.000 0.500
Ir 0.000 0.000 0.000
Ir 0.000 0.500 0.500
Li 0.500 0.500 0.000

Summary:
Formation energy from the elements, kJ/mol of atoms: 10.2
Symmetry: No. 123

=====

# 6
First-principles (PBE-GGA) data for a relaxed LiPu2AgTe4 crystal, as listed in Alexandria.

Cell: 4.454 7.701 7.337 Å, 110.66 90.00 90.00°
Atoms (fractional coordinates):
Li 0.500 0.500 0.000
Pu 0.500 0.000 0.500
Pu 0.000 0.500 0.500
Ag 0.000 0.000 0.000
Te 0.500 0.249 0.243
Te 0.500 0.751 0.757
Te 0.000 0.255 0.756
Te 0.000 0.745 0.244

Summary:
Uncorrected formation energy, eV/atom: -0.804
Symmetry: No. 10